The following is a PBE calculation of a relaxed structure of BaAg, from the Alexandria database.

The value obtained for the density of states at the Fermi level is 1.7 states/eV/f.u. The total energy comes out at -2.60 eV/atom. Its spin magnetization is 0.000 μB/atom. Its crystal system is monoclinic.

The structure belongs to space group Cm (No. 8); the cell edges are 12.399, 4.607 and 8.761 Å and the angles 90.00°, 111.54° and 90.00°. Symmetry generates all atoms from Ba at (0.000, 0.000, 0.000), Ba at (0.144, 0.500, 0.700), Ba at (0.327, 0.500, 0.350), Ag at (0.134, 0.000, 0.411), Ag at (0.289, 0.000, 0.006) and Ag at (0.353, 0.000, 0.691).

***

The following is a PBE calculation of a relaxed structure of Ba3Ag2, from the Alexandria database.

The value obtained for the density of states at the Fermi level is 4.3 states/eV/f.u. The total energy comes out at -2.48 eV/atom. Its spin magnetization is 0.000 μB/atom. The calculation puts the energy above the most stable polymorph in this dataset at 0.0370 eV per atom. Its crystal system is orthorhombic.

The structure belongs to space group Pnma (No. 62); the cell edges are 13.389, 4.800 and 13.398 Å and the angles 90.00°, 90.00° and 90.00°. Symmetry generates all atoms from Ba at (0.051, 0.250, 0.129), Ba at (0.116, 0.750, 0.560), Ba at (0.223, 0.250, 0.806), Ag at (0.015, 0.750, 0.314) and Ag at (0.194, 0.750, 0.002).

***

The following is a PBE calculation of a relaxed structure of Ba3Ag, from the Alexandria database.

The value obtained for the density of states at the Fermi level is 4.6 states/eV/f.u. The total energy comes out at -2.03 eV/atom. Its spin magnetization is 0.000 μB/atom. The calculation puts the energy above the most stable polymorph in this dataset at 0.2584 eV per atom. Its crystal system is trigonal.

The structure belongs to space group R-3m (No. 166, hexagonal axes); the cell edges are 12.4808, 12.4808 and 4.2451 Å and the angles 90.00°, 90.00° and 120.00°. Symmetry generates all atoms from Ba at (0.0000, 0.5000, 0.0000) and Ag at (0.0000, 0.0000, 0.0000).